1.
Computed, not measured: crystalline MgSi2Tc2 at its relaxed geometry at the GGA-PBE level of DFT.

Cell lengths 4.057, 4.057, 5.763 Å; angles 69.39, 69.39, 90.00 degrees
Positions (direct):
Mg1 0.000 0.000 0.000
Si1 0.383 0.383 0.233
Si2 0.617 0.617 0.767
Tc1 0.750 0.250 0.500
Tc2 0.250 0.750 0.500

M_tot: 0.000 μB/atom
formation energy from raw total energies: -233 meV/atom
theoretical density: 5.58 g/cm³
E_tot: -34.3 eV per formula unit
energy above the most stable polymorph in this dataset: 159 meV/atom

2.
Computed, not measured: crystalline MgSi2Tc2 at its relaxed geometry at the GGA-PBE level of DFT.

Cell lengths 6.863, 6.863, 3.043 Å; angles 90.00, 90.00, 90.00 degrees
Positions (direct):
Mg1 0.000 0.000 0.000
Mg2 0.500 0.500 0.000
Si1 0.366 0.866 0.000
Si2 0.866 0.634 0.000
Si3 0.634 0.134 0.000
Si4 0.134 0.366 0.000
Tc1 0.156 0.656 0.500
Tc2 0.656 0.844 0.500
Tc3 0.844 0.344 0.500
Tc4 0.344 0.156 0.500

M_tot: 0.000 μB/atom
formation energy from raw total energies: -392 meV/atom
theoretical density: 6.41 g/cm³
E_tot: -35.1 eV per formula unit
energy above the most stable polymorph in this dataset: 0 meV/atom

3.
Computed, not measured: crystalline MgSi2Tc2 at its relaxed geometry at the GGA-PBE level of DFT.

Cell lengths 7.061, 7.061, 2.956 Å; angles 90.00, 90.00, 90.00 degrees
Positions (direct):
Mg1 0.000 0.000 0.000
Mg2 0.500 0.500 0.000
Si1 0.147 0.647 0.500
Si2 0.647 0.853 0.500
Si3 0.853 0.353 0.500
Si4 0.353 0.147 0.500
Tc1 0.355 0.855 0.000
Tc2 0.855 0.645 0.000
Tc3 0.645 0.145 0.000
Tc4 0.145 0.355 0.000

M_tot: 0.000 μB/atom
formation energy from raw total energies: -281 meV/atom
theoretical density: 6.23 g/cm³
E_tot: -34.6 eV per formula unit
energy above the most stable polymorph in this dataset: 111 meV/atom

4.
Computed, not measured: crystalline MgSiTc at its relaxed geometry at the GGA-PBE level of DFT.

Cell lengths 4.144, 4.144, 4.144 Å; angles 60.00, 60.00, 60.00 degrees
Positions (direct):
Mg1 0.500 0.500 0.500
Si1 0.750 0.750 0.750
Tc1 0.000 0.000 0.000

M_tot: 0.000 μB/atom
formation energy from raw total energies: 37 meV/atom
theoretical density: 4.96 g/cm³
E_tot: -17.3 eV per formula unit
energy above the most stable polymorph in this dataset: 244 meV/atom

5.
Computed, not measured: crystalline MgSi2Tc2 at its relaxed geometry at the GGA-PBE level of DFT.

Cell lengths 3.476, 3.476, 6.822 Å; angles 75.24, 75.24, 90.00 degrees
Positions (direct):
Mg1 0.000 0.000 0.000
Si1 0.750 0.250 0.500
Si2 0.250 0.750 0.500
Tc1 0.387 0.387 0.225
Tc2 0.613 0.613 0.775

M_tot: 0.000 μB/atom
formation energy from raw total energies: -153 meV/atom
theoretical density: 5.97 g/cm³
E_tot: -33.9 eV per formula unit
energy above the most stable polymorph in this dataset: 239 meV/atom

6.
Computed, not measured: crystalline Mg2SiTc2 at its relaxed geometry at the GGA-PBE level of DFT.

Cell lengths 6.180, 6.180, 4.496 Å; angles 90.00, 90.00, 90.00 degrees
Positions (direct):
Mg1 0.167 0.667 0.500
Mg2 0.667 0.833 0.500
Mg3 0.833 0.333 0.500
Mg4 0.333 0.167 0.500
Si1 0.000 0.000 0.000
Si2 0.500 0.500 0.000
Tc1 0.362 0.862 0.000
Tc2 0.862 0.638 0.000
Tc3 0.638 0.138 0.000
Tc4 0.138 0.362 0.000

M_tot: 0.000 μB/atom
formation energy from raw total energies: -109 meV/atom
theoretical density: 5.27 g/cm³
E_tot: -29.9 eV per formula unit

7.
Computed, not measured: crystalline Mg4SiTc at its relaxed geometry at the GGA-PBE level of DFT.

Cell lengths 5.371, 5.371, 5.371 Å; angles 60.00, 60.00, 60.00 degrees
Each line ends with the local moment (μB).
Positions (direct):
Mg1 0.877 0.374 0.374  0.00
Mg2 0.374 0.374 0.877  0.00
Mg3 0.374 0.877 0.374  0.00
Mg4 0.374 0.374 0.374  0.00
Si1 0.750 0.750 0.750  0.00
Tc1 0.000 0.000 0.000  0.41

M_tot: 0.093 μB/atom
formation energy from raw total energies: 568 meV/atom
theoretical density: 3.38 g/cm³
E_tot: -18.8 eV per formula unit

8.
Computed, not measured: crystalline MgSiTc at its relaxed geometry at the GGA-PBE level of DFT.

Cell lengths 6.644, 6.465, 2.831 Å; angles 81.10, 74.00, 24.89 degrees
Each line ends with the local moment (μB).
Positions (direct):
Mg1 0.997 0.997 0.003  0.00
Si1 0.683 0.683 0.317  -0.01
Tc1 0.320 0.320 0.680  0.26

M_tot: 0.092 μB/atom
formation energy from raw total energies: 97 meV/atom
theoretical density: 5.22 g/cm³
E_tot: -17.1 eV per formula unit
energy above the most stable polymorph in this dataset: 304 meV/atom